No. 1
The following is a DFT calculation (PBE) of Tb2CeSn3 after structural relaxation.

abc: 5.1689 6.3001 11.0631
angles: 90.00 90.00 90.00
With the nearest neighbours (Å) after each atom.
Space group Immm (No. 71)
Unique sites:
Tb 0.0000 0.0000 0.1648 (multiplicity 4)  6 Sn 3.15-3.16
Ce 0.0000 0.0000 0.5000 (multiplicity 2)  6 Sn 3.15-3.20
Sn 0.0000 0.5000 0.1713 (multiplicity 4)  4 Tb 3.15-3.16, 2 Ce 3.20
Sn 0.0000 0.5000 0.5000 (multiplicity 2)  2 Ce 3.15, 4 Tb 3.16

## Properties
M_tot	0.73	Bohr magnetons per cell
ΔH_f (0 K)	-0.5382	eV per atom

No. 2
The following is a DFT calculation (PBE) of CrSiAs after structural relaxation.

abc: 4.3313 4.3313 2.6393
angles: 90.00 90.00 120.00
With the nearest neighbours (Å) after each atom.
Space group P-6m2 (No. 187)
Unique sites:
Cr 0.0000 0.0000 0.0000 (multiplicity 1)  3 As 2.50, 2 Cr 2.64
Si 0.6667 0.3333 0.5000 (multiplicity 1)  2 Si 2.64, 6 Cr 2.83, 6 As 2.83
As 0.3333 0.6667 0.0000 (multiplicity 1)  3 Cr 2.50, 2 As 2.64

## Properties
formation energy without anion corrections	36	kJ/mol of atoms
M_tot	0.79	Bohr magnetons per cell

No. 3
The following is a DFT calculation (PBE) of Ba3H7Rh2 after structural relaxation.

abc: 3.9840 3.9840 23.7926
angles: 90.00 90.00 90.00
With the nearest neighbours (Å) after each atom.
Space group I4/mmm (No. 139)
Unique sites:
Ba 0.0000 0.0000 0.0000 (multiplicity 2)  12 H 2.79-2.82
Ba 0.0000 0.0000 0.1613 (multiplicity 4)  8 H 2.74-2.82
H 0.0000 0.0000 0.3474 (multiplicity 4)  1 Rh 1.70
H 0.0000 0.0000 0.5000 (multiplicity 2)  2 Rh 1.94
H 0.0000 0.5000 0.0822 (multiplicity 8)  2 Rh 1.99
Rh 0.0000 0.0000 0.4187 (multiplicity 4)  1 H 1.70

## Properties
energy	-4.107	eV/atom
M_tot	0.00	Bohr magnetons per cell

No. 4
The following is a DFT calculation (PBE) of ZnSnN after structural relaxation.

abc: 3.4709 5.2613 6.9674
angles: 82.85 80.59 77.23
With the nearest neighbours (Å) after each atom.
Space group P1 (No. 1)
Unique sites:
Zn 0.0000 0.0000 0.0000 (multiplicity 1)  1 N 1.94
Zn 0.3194 0.5477 0.8962 (multiplicity 1)  2 N 2.01-2.03
Sn 0.4034 0.9278 0.3203 (multiplicity 1)  1 N 2.10
Sn 0.9918 0.3636 0.5615 (multiplicity 1)  3 N 2.13-2.15
N 0.4203 0.6095 0.5356 (multiplicity 1)  3 Sn 2.10-2.15
N 0.8906 0.3512 0.8718 (multiplicity 1)  3 Zn 1.94-2.03, 1 Sn 2.13

## Properties
formation energy without anion corrections	27	kJ/mol of atoms
M_tot	0.00	Bohr magnetons per cell

No. 5
The following is a DFT calculation (PBE) of BeInP2 after structural relaxation.

abc: 4.1446 4.1446 7.6275
angles: 90.00 90.00 90.00
With the nearest neighbours (Å) after each atom.
Space group I-4m2 (No. 119)
Unique sites:
Be 0.0000 0.0000 0.0000 (multiplicity 2)  4 In 2.82, 8 P 2.82-2.93
In 0.0000 0.5000 0.7500 (multiplicity 2)  4 Be 2.82, 8 P 2.82-2.93
P 0.0000 0.0000 0.5000 (multiplicity 2)  4 In 2.82, 4 P 2.82, 4 Be 2.93
P 0.0000 0.5000 0.2500 (multiplicity 2)  4 Be 2.82, 4 P 2.82, 4 In 2.93

## Properties
M_tot	0.00	Bohr magnetons per cell
ΔH_f (0 K)	0.7218	eV per atom

No. 6
The following is a DFT calculation (PBE) of Sm2HoPb after structural relaxation.

abc: 3.5682 3.5682 36.5647
angles: 90.00 90.00 120.00
With the nearest neighbours (Å) after each atom.
Space group R-3m (No. 166, hexagonal axes)
Unique sites:
Sm 0.0000 0.0000 0.0883 (multiplicity 6)  1 Pb 3.23, 3 Ho 3.53, 6 Sm 3.57
Ho 0.0000 0.0000 0.5000 (multiplicity 3)  6 Sm 3.53, 6 Ho 3.57
Pb 0.0000 0.0000 0.0000 (multiplicity 3)  2 Sm 3.23, 6 Pb 3.57

## Properties
M_tot	0.00	Bohr magnetons per cell
ΔH_f (0 K)	0.0387	eV per atom

No. 7
The following is a DFT calculation (PBE) of V2SiBi after structural relaxation.

abc: 4.1768 4.1768 17.9227
angles: 90.00 90.00 90.00
With the nearest neighbours (Å) after each atom.
Space group I-42d (No. 122)
Unique sites:
V 0.1276 0.2500 0.1250 (multiplicity 8)  2 V 2.34, 2 Si 2.53
Si 0.0000 0.0000 0.0000 (multiplicity 4)  4 V 2.53
Bi 0.0000 0.0000 0.5000 (multiplicity 4)  4 V 2.92, 4 Si 2.95

## Properties
formation energy without anion corrections	55	kJ/mol of atoms
M_tot	0.00	Bohr magnetons per cell

No. 8
The following is a DFT calculation (PBE) of MgRh2AuC after structural relaxation.

abc: 4.0107 4.0107 4.4558
angles: 90.00 90.00 90.00
With the nearest neighbours (Å) after each atom.
Space group P4/mmm (No. 123)
Unique sites:
Mg 0.0000 0.0000 0.0000 (multiplicity 1)  2 C 2.23
Rh 0.0000 0.5000 0.5000 (multiplicity 2)  2 C 2.01
Au 0.5000 0.5000 0.0000 (multiplicity 1)  4 Mg 2.84, 8 Rh 3.00
C 0.0000 0.0000 0.5000 (multiplicity 1)  4 Rh 2.01, 2 Mg 2.23

## Properties
M_tot	0.00	Bohr magnetons per cell
ΔH_f (0 K)	-0.0915	eV per atom

No. 9
The following is a DFT calculation (PBE) of Mg2Zn3Pt4 after structural relaxation.

abc: 4.0645 4.6671 8.2845
angles: 77.25 89.95 64.20
With the nearest neighbours (Å) after each atom.
Space group P-1 (No. 2)
Unique sites:
Mg 0.1736 0.1517 0.2185 (multiplicity 2)  7 Pt 2.71-2.81, 5 Zn 2.84-2.89
Zn 0.1566 0.1885 0.5562 (multiplicity 2)  1 Zn 2.55, 6 Pt 2.68-2.80, 1 Mg 2.84
Zn 0.5000 0.5000 0.0000 (multiplicity 1)  8 Pt 2.73-2.75, 4 Mg 2.87
Pt 0.1651 0.1710 0.8878 (multiplicity 2)  4 Mg 2.71-2.77, 4 Zn 2.73-2.75, 4 Pt 2.89-2.91
Pt 0.4832 0.5345 0.6661 (multiplicity 2)  6 Zn 2.68-2.80, 3 Mg 2.72-2.81, 3 Pt 2.84-2.91

## Properties
M_tot	0.00	Bohr magnetons per cell
ΔH_f (0 K)	-0.6346	eV per atom

No. 10
The following is a DFT calculation (PBE) of Th2MnZn16 after structural relaxation.

abc: 9.0482 9.0482 13.2749
angles: 90.00 90.00 120.00
With the nearest neighbours (Å) after each atom.
Space group R3m (No. 160, hexagonal axes)
Unique sites:
Th 0.0000 0.0000 0.0000 (multiplicity 3)  19 Zn 3.17-3.51
Th 0.0000 0.0000 0.3241 (multiplicity 3)  1 Mn 3.13, 15 Zn 3.22-3.42
Mn 0.0000 0.0000 0.5598 (multiplicity 3)  13 Zn 2.67-2.91
Zn 0.0000 0.0000 0.7609 (multiplicity 3)  1 Mn 2.67, 12 Zn 2.77-2.94
Zn 0.0002 0.2878 0.6582 (multiplicity 18)  8 Zn 2.58-2.79
Zn 0.0008 0.5004 0.8102 (multiplicity 9)  8 Zn 2.60-2.79, 1 Mn 2.84
Zn 0.0027 0.5014 0.1588 (multiplicity 9)  9 Zn 2.58-2.77, 1 Mn 2.74
Zn 0.1716 0.3433 0.8409 (multiplicity 9)  9 Zn 2.60-2.89

## Properties
M_tot	10.12	Bohr magnetons per cell
ΔH_f (0 K)	-0.1877	eV per atom

No. 11
The following is a DFT calculation (PBE) of FeReRu after structural relaxation.

abc: 2.7024 2.7024 6.4913
angles: 90.00 90.00 120.00
With the nearest neighbours (Å) after each atom.
Space group P3m1 (No. 156)
Unique sites:
Fe 0.0000 0.0000 0.0000 (multiplicity 1)  3 Ru 2.63, 3 Re 2.67, 6 Fe 2.70
Re 0.6667 0.3333 0.3340 (multiplicity 1)  3 Fe 2.67, 6 Re 2.70, 3 Ru 2.70
Ru 0.3333 0.6667 0.6743 (multiplicity 1)  3 Fe 2.63, 6 Ru 2.70, 3 Re 2.70

## Properties
M_tot	1.91	Bohr magnetons per cell
ΔH_f (0 K)	0.1288	eV per atom

No. 12
The following is a DFT calculation (PBE) of BeTcGePd after structural relaxation.

abc: 5.9282 5.9282 5.9282
angles: 90.00 90.00 90.00
With the nearest neighbours (Å) after each atom.
Space group F-43m (No. 216)
Unique sites:
Be 0.0000 0.0000 0.0000 (multiplicity 4)  4 Tc 2.57, 4 Pd 2.57
Tc 0.2500 0.2500 0.7500 (multiplicity 4)  4 Ge 2.57, 4 Be 2.57
Ge 0.0000 0.0000 0.5000 (multiplicity 4)  4 Tc 2.57, 4 Pd 2.57
Pd 0.2500 0.2500 0.2500 (multiplicity 4)  4 Ge 2.57, 4 Be 2.57

## Properties
M_tot	0.00	Bohr magnetons per cell
ΔH_f (0 K)	-0.2204	eV per atom